1.
A plane-wave DFT calculation with PBE-GGA was carried out for a relaxed Sr4Pa3PdN8 crystal.

Lattice parameters (Å, degrees): 7.0590 7.1926 7.2738 119.32 119.03 90.00
Last column: magnetic moment on the atom in μB.
Element x y z (fractional)
N 0.2661 0.7126 0.5322  0.01
N 0.7352 0.7075 0.4705  0.00
N 0.7542 0.3007 0.0489  0.06
N 0.7339 0.2874 0.4678  0.01
N 0.2648 0.2925 0.5295  0.00
N 0.2946 0.3007 0.0489  0.06
N 0.2458 0.6993 0.9511  0.06
N 0.7054 0.6993 0.9511  0.06
Sr 0.0000 0.0000 0.0000  0.00
Sr 0.0000 0.0000 0.5000  0.00
Sr 0.5000 0.0000 0.0000  0.02
Sr 0.5000 0.0000 0.5000  0.00
Pa 0.5000 0.5000 0.5000  0.01
Pa 0.0000 0.5000 0.5000  0.01
Pa 0.5000 0.5000 0.0000  0.03
Pd 0.0000 0.5000 0.0000  0.41

Total DFT energy (no corrections) = -7.77 eV per atom
M_tot = 0.80 μB/f.u.
Density of states at the Fermi level = 2.28 states/eV/cell
SG = No. 12

***

2.
A plane-wave DFT calculation with PBE-GGA was carried out for a relaxed Rb2CoOs crystal.

Lattice parameters (Å, degrees): 5.7875 5.7875 5.7875 60.00 60.00 60.00
Last column: magnetic moment on the atom in μB.
Element x y z (fractional)
Os 0.5000 0.5000 0.5000  2.53
Co 0.0000 0.0000 0.0000  2.15
Rb 0.2500 0.2500 0.2500  0.00
Rb 0.7500 0.7500 0.7500  0.00

ΔH_f (0 K) = 2.113 eV per atom
M_tot = 4.99 μB/f.u.
Density of states at the Fermi level = 1.30 states/eV/cell
SG = No. 225

***

3.
A plane-wave DFT calculation with PBE-GGA was carried out for a relaxed AcThAlIn crystal.

Lattice parameters (Å, degrees): 5.5414 5.5414 5.5414 60.00 60.00 60.00
Element x y z (fractional)
Al 0.7500 0.7500 0.7500
In 0.2500 0.2500 0.2500
Ac 0.5000 0.5000 0.5000
Th 0.0000 0.0000 0.0000

ΔH_f (0 K) = -0.183 eV per atom
M_tot = 0.00 μB/f.u.
Density of states at the Fermi level = 3.71 states/eV/cell
SG = No. 216

***

4.
A plane-wave DFT calculation with PBE-GGA was carried out for a relaxed GdScCdCu crystal.

Lattice parameters (Å, degrees): 5.0170 5.0170 5.0170 60.00 60.00 60.00
Last column: magnetic moment on the atom in μB.
Element x y z (fractional)
Gd 0.5000 0.5000 0.5000  -7.05
Sc 0.0000 0.0000 0.0000  0.02
Cu 0.2500 0.2500 0.2500  -0.01
Cd 0.7500 0.7500 0.7500  -0.01

ΔH_f (0 K) = -0.189 eV per atom
M_tot = 7.25 μB/f.u.
Density of states at the Fermi level = 4.40 states/eV/cell
SG = No. 216

***

5.
A plane-wave DFT calculation with PBE-GGA was carried out for a relaxed CoAg2Mo crystal.

Lattice parameters (Å, degrees): 4.4887 3.7324 3.7324 90.00 90.00 90.00
Last column: magnetic moment on the atom in μB.
Element x y z (fractional)
Ag 0.0000 0.0000 0.0000  0.04
Ag 0.0000 0.5000 0.5000  0.04
Co 0.5000 0.5000 0.0000  1.40
Mo 0.5000 0.0000 0.5000  0.68

ΔH_f (0 K) = 0.699 eV per atom
M_tot = 2.26 μB/f.u.
Density of states at the Fermi level = 5.80 states/eV/cell
SG = No. 123

***

6.
A plane-wave DFT calculation with PBE-GGA was carried out for a relaxed CsMg2F crystal.

Lattice parameters (Å, degrees): 5.9300 5.9300 5.9300 60.00 60.00 60.00
Element x y z (fractional)
Mg 0.2500 0.2500 0.2500
Mg 0.7500 0.7500 0.7500
Cs 0.5000 0.5000 0.5000
F 0.0000 0.0000 0.0000

Total DFT energy (no corrections) = -1.74 eV per atom
M_tot = 0.00 μB/f.u.
Density of states at the Fermi level = 0.15 states/eV/cell
SG = No. 225

***

7.
A plane-wave DFT calculation with PBE-GGA was carried out for a relaxed VAsW2 crystal.

Lattice parameters (Å, degrees): 3.7630 3.7630 9.8135 78.95 78.95 90.00
Last column: magnetic moment on the atom in μB.
Element x y z (fractional)
As 0.0000 0.0000 0.0000  -0.01
As 0.7500 0.2500 0.5000  -0.01
W 0.6300 0.1250 0.2500  0.05
W 0.1200 0.6250 0.2500  0.05
W 0.8750 0.8800 0.7500  0.05
W 0.3750 0.3700 0.7500  0.05
V 0.5000 0.5000 0.0000  1.34
V 0.2500 0.7500 0.5000  1.34

ΔH_f (0 K) = 0.602 eV per atom
M_tot = 1.61 μB/f.u.
Density of states at the Fermi level = 7.75 states/eV/cell
SG = No. 122

***

8.
A plane-wave DFT calculation with PBE-GGA was carried out for a relaxed MgTlBr2 crystal.

Lattice parameters (Å, degrees): 7.4925 7.4925 7.4925 145.72 145.72 49.26
Element x y z (fractional)
Br 0.2500 0.7500 0.5000
Br 0.0000 0.0000 0.0000
Tl 0.7500 0.2500 0.5000
Mg 0.5000 0.5000 0.0000

Total DFT energy (no corrections) = -2.37 eV per atom
M_tot = 0.00 μB/f.u.
Density of states at the Fermi level = 1.78 states/eV/cell
SG = No. 119

***

9.
A plane-wave DFT calculation with PBE-GGA was carried out for a relaxed Zr2AgIr2 crystal.

Lattice parameters (Å, degrees): 7.9135 7.9135 3.0746 90.00 90.00 90.00
Element x y z (fractional)
Ag 0.0000 0.0000 0.0000
Ag 0.5000 0.5000 0.0000
Ir 0.3588 0.1412 0.5000
Ir 0.8588 0.3588 0.5000
Ir 0.1412 0.6412 0.5000
Ir 0.6412 0.8588 0.5000
Zr 0.6514 0.1514 0.0000
Zr 0.3486 0.8486 0.0000
Zr 0.1514 0.3486 0.0000
Zr 0.8486 0.6514 0.0000

ΔH_f (0 K) = -0.415 eV per atom
M_tot = 0.00 μB/f.u.
Density of states at the Fermi level = 5.17 states/eV/cell
SG = No. 127

***

10.
A plane-wave DFT calculation with PBE-GGA was carried out for a relaxed CuWBr2 crystal.

Lattice parameters (Å, degrees): 4.3066 3.1179 6.2737 111.86 90.00 90.00
Element x y z (fractional)
W 0.5000 0.7500 0.7500
Br 0.0000 0.6974 0.5054
Br 0.0000 0.8026 0.9946
Cu 0.5000 0.2500 0.2500

Total DFT energy (no corrections) = -4.28 eV per atom
M_tot = 0.00 μB/f.u.
Density of states at the Fermi level = 2.61 states/eV/cell
SG = No. 10

***

11.
A plane-wave DFT calculation with PBE-GGA was carried out for a relaxed Pm5Sn2O2 crystal.

Lattice parameters (Å, degrees): 5.0597 6.9418 7.2421 102.08 90.00 111.37
Element x y z (fractional)
Sn 0.5855 0.1711 0.3022
Sn 0.4145 0.8289 0.6978
Pm 0.6681 0.3362 0.9049
Pm 0.3319 0.6638 0.0951
Pm 0.0000 0.0000 0.0000
Pm 0.8474 0.6947 0.4311
Pm 0.1526 0.3053 0.5689
O 0.8355 0.6709 0.1061
O 0.1645 0.3291 0.8939

Total DFT energy (no corrections) = -6.16 eV per atom
M_tot = 0.00 μB/f.u.
Density of states at the Fermi level = 5.42 states/eV/cell
SG = No. 12

***

12.
A plane-wave DFT calculation with PBE-GGA was carried out for a relaxed NaZnW3 crystal.

Lattice parameters (Å, degrees): 4.6543 4.6543 4.6543 90.00 90.00 90.00
Element x y z (fractional)
W 0.0000 0.0000 0.5000
W 0.5000 0.0000 0.0000
W 0.0000 0.5000 0.0000
Zn 0.0000 0.0000 0.0000
Na 0.5000 0.5000 0.5000

ΔH_f (0 K) = 2.194 eV per atom
M_tot = 0.00 μB/f.u.
Density of states at the Fermi level = 7.29 states/eV/cell
SG = No. 221

***

13.
A plane-wave DFT calculation with PBE-GGA was carried out for a relaxed V4Ni2Rh5 crystal.

Lattice parameters (Å, degrees): 2.6710 6.4806 10.7740 123.17 97.12 90.00
Element x y z (fractional)
Rh 0.1433 0.2069 0.2866
Rh 0.8156 0.1251 0.6312
Rh 0.8567 0.7931 0.7134
Rh 0.1844 0.8749 0.3688
Rh 0.5000 0.0000 0.0000
V 0.0822 0.4356 0.1644
V 0.2795 0.3798 0.5589
V 0.7205 0.6202 0.4411
V 0.9178 0.5644 0.8356
Ni 0.0461 0.7341 0.0921
Ni 0.9539 0.2659 0.9079

ΔH_f (0 K) = -0.006 eV per atom
M_tot = 0.00 μB/f.u.
Density of states at the Fermi level = 14.32 states/eV/cell
SG = No. 12

***

14.
A plane-wave DFT calculation with PBE-GGA was carried out for a relaxed Ac4LaPt5 crystal.

Lattice parameters (Å, degrees): 6.1730 7.5607 7.5607 80.41 65.91 65.91
Element x y z (fractional)
Ac 0.4026 0.3980 0.7988
Ac 0.5994 0.6020 0.2012
Ac 0.8006 0.7988 0.6020
Ac 0.2014 0.2012 0.3980
Pt 0.7065 0.1967 0.3924
Pt 0.5011 0.0000 0.0000
Pt 0.2956 0.8033 0.6076
Pt 0.0989 0.6076 0.1967
Pt 0.9032 0.3924 0.8033
La 0.0010 0.0000 0.0000

ΔH_f (0 K) = -1.170 eV per atom
M_tot = 0.00 μB/f.u.
Density of states at the Fermi level = 5.71 states/eV/cell
SG = No. 87

***

15.
A plane-wave DFT calculation with PBE-GGA was carried out for a relaxed TlP2 crystal.

Lattice parameters (Å, degrees): 5.5841 5.5841 5.5841 60.00 60.00 60.00
Element x y z (fractional)
P 0.1250 0.6250 0.1250
P 0.1250 0.1250 0.6250
P 0.1250 0.1250 0.1250
P 0.6250 0.1250 0.1250
Tl 0.5000 0.5000 0.5000
Tl 0.7500 0.7500 0.7500

ΔH_f (0 K) = 0.521 eV per atom
M_tot = 0.00 μB/f.u.
Density of states at the Fermi level = 2.90 states/eV/cell
SG = No. 227

***

16.
A plane-wave DFT calculation with PBE-GGA was carried out for a relaxed BeTcP2 crystal.

Lattice parameters (Å, degrees): 5.2487 5.2487 6.2390 65.13 65.13 90.00
Element x y z (fractional)
P 0.3750 0.3918 0.7500
P 0.1418 0.6250 0.2500
P 0.6082 0.1250 0.2500
P 0.8750 0.8582 0.7500
Tc 0.7500 0.2500 0.5000
Tc 0.0000 0.0000 0.0000
Be 0.2500 0.7500 0.5000
Be 0.5000 0.5000 0.0000

ΔH_f (0 K) = 0.044 eV per atom
M_tot = 0.00 μB/f.u.
Density of states at the Fermi level = 5.88 states/eV/cell
SG = No. 122

***

17.
A plane-wave DFT calculation with PBE-GGA was carried out for a relaxed InPd4Pt4 crystal.

Lattice parameters (Å, degrees): 3.9247 6.3463 6.3463 84.51 71.99 71.99
Element x y z (fractional)
Pd 0.6675 0.0000 0.6649
Pd 0.3325 0.0000 0.3351
Pd 0.6675 0.6649 0.0000
Pd 0.3325 0.3351 0.0000
In 0.0000 0.0000 0.0000
Pt 0.6647 0.3353 0.3353
Pt 0.0000 0.3353 0.6647
Pt 0.3353 0.6647 0.6647
Pt 0.0000 0.6647 0.3353

ΔH_f (0 K) = -0.218 eV per atom
M_tot = 0.00 μB/f.u.
Density of states at the Fermi level = 11.12 states/eV/cell
SG = No. 139

***

18.
A plane-wave DFT calculation with PBE-GGA was carried out for a relaxed SrLiBe2 crystal.

Lattice parameters (Å, degrees): 4.0451 4.2299 5.5647 67.66 90.00 90.00
Element x y z (fractional)
Be 0.5000 0.0833 0.2078
Be 0.0000 0.1282 0.1182
Li 0.0000 0.5007 0.3743
Sr 0.5000 0.7878 0.7997

ΔH_f (0 K) = 0.381 eV per atom
M_tot = 0.00 μB/f.u.
Density of states at the Fermi level = 2.09 states/eV/cell
SG = No. 38

***

19.
A plane-wave DFT calculation with PBE-GGA was carried out for a relaxed LiCd3Hg3 crystal.

Lattice parameters (Å, degrees): 5.5217 8.0948 8.0948 120.00 90.00 90.00
Element x y z (fractional)
Hg 0.2500 0.5220 0.9144
Hg 0.7500 0.6076 0.5220
Hg 0.7500 0.4780 0.0856
Hg 0.2500 0.0856 0.6076
Hg 0.7500 0.9144 0.3924
Hg 0.2500 0.3924 0.4780
Cd 0.7500 0.1904 0.2397
Cd 0.2500 0.2397 0.0494
Cd 0.7500 0.7603 0.9506
Cd 0.2500 0.8096 0.7603
Cd 0.2500 0.9506 0.1904
Cd 0.7500 0.0494 0.8096
Li 0.7500 0.3333 0.6667
Li 0.2500 0.6667 0.3333

ΔH_f (0 K) = -0.087 eV per atom
M_tot = 0.00 μB/f.u.
Density of states at the Fermi level = 3.28 states/eV/cell
SG = No. 176

***

20.
A plane-wave DFT calculation with PBE-GGA was carried out for a relaxed Be5Zn crystal.

Lattice parameters (Å, degrees): 6.3032 6.3032 3.6486 90.00 90.00 157.76
Element x y z (fractional)
Be 0.7870 0.2130 0.5000
Be 0.6785 0.3215 0.0000
Be 0.9864 0.0136 0.0000
Be 0.4384 0.5616 0.5000
Be 0.3327 0.6673 0.0000
Zn 0.1102 0.8898 0.5000

ΔH_f (0 K) = 0.105 eV per atom
M_tot = 0.00 μB/f.u.
Density of states at the Fermi level = 0.94 states/eV/cell
SG = No. 38